Entry 1:
{
  "formula": "ZnAs",
  "functional": "PBE",
  "state": "optimized geometry",
  "cell": [[5.1611, 0.0000, 0.0000], [0.0000, 5.5503, 0.0000], [0.0000, 0.0000, 5.0040]],
  "species": ["Zn", "Zn", "Zn", "Zn", "As", "As", "As", "As"],
  "fractional_positions": [[0.4537, 0.7489, 0.0000], [0.9891, 0.5000, 0.0000], [0.4537, 0.2511, 0.0000], [0.3617, 0.5000, 0.5000], [0.8714, 0.2550, 0.5000], [0.8714, 0.7450, 0.5000], [0.4073, 0.0000, 0.5000], [0.9250, 0.0000, 0.0000]],
  "sg": "Pmm2"
}

***

Entry 2:
{
  "formula": "Zn5As",
  "functional": "PBE",
  "state": "optimized geometry",
  "cell": [[-4.7477, 1.1070, 0.2274], [-3.2766, -2.8320, -2.2499], [-0.4154, -2.5701, 3.8400]],
  "species": ["As", "Zn", "Zn", "Zn", "Zn", "Zn"],
  "fractional_positions": [[0.0000, 0.0000, 0.0000], [0.3488, 0.6512, 0.5000], [0.3333, 0.3333, 0.0000], [0.6667, 0.6667, 0.0000], [0.6512, 0.0000, 0.5000], [0.0000, 0.3488, 0.5000]],
  "sg": "P-62m"
}

***

Entry 3:
{
  "formula": "ZnAs4",
  "functional": "PBE",
  "state": "optimized geometry",
  "cell": [[5.3267, 0.0000, 0.0000], [0.0000, 5.4355, 0.0000], [-1.2452, 0.0000, 7.7803]],
  "species": ["As", "As", "As", "As", "As", "As", "As", "As", "Zn", "Zn"],
  "fractional_positions": [[0.2157, 0.7049, 0.2491], [0.6159, 0.6355, 0.9101], [0.3841, 0.1355, 0.5899], [0.2157, 0.7951, 0.7491], [0.7843, 0.2951, 0.7509], [0.3841, 0.3645, 0.0899], [0.6159, 0.8645, 0.4101], [0.7843, 0.2049, 0.2509], [0.0000, 0.0000, 0.0000], [0.0000, 0.5000, 0.5000]],
  "sg": "P2_1/c"
}

***

Entry 4:
{
  "formula": "ZrZnAs2",
  "functional": "PBE",
  "state": "optimized geometry",
  "cell": [[-2.3931, -3.5353, 2.0783], [-2.4647, 0.8169, 3.9752], [-4.7469, -0.0343, -0.1005]],
  "species": ["As", "As", "Zr", "Zn"],
  "fractional_positions": [[0.2500, 0.2500, 0.2500], [0.0000, 0.0000, 0.0000], [0.5000, 0.5000, 0.5000], [0.7500, 0.7500, 0.7500]],
  "total_magnetization_mub_per_cell": 0.0,
  "sg": "F-43m"
}

***

Entry 5:
{
  "formula": "ZrZnAs2",
  "functional": "PBE",
  "state": "optimized geometry",
  "cell": [[0.0000, 3.3574, 3.3574], [3.3574, 0.0000, 3.3574], [3.3574, 3.3574, 0.0000]],
  "species": ["Zr", "As", "As", "Zn"],
  "fractional_positions": [[0.2500, 0.2500, 0.2500], [0.7500, 0.7500, 0.7500], [0.5000, 0.5000, 0.5000], [0.0000, 0.0000, 0.0000]],
  "total_magnetization_mub_per_cell": 0.0,
  "sg": "F-43m"
}

***

Entry 6:
{
  "formula": "Zr2As",
  "functional": "PBE",
  "state": "optimized geometry",
  "cell": [[2.7709, 4.7992, 0.0000], [-2.7708, 4.7992, 0.0000], [0.0000, 0.0000, 4.5709]],
  "species": ["As", "As", "Zr", "Zr", "Zr", "Zr"],
  "fractional_positions": [[0.0000, 0.0000, 0.0000], [0.3333, 0.3333, 0.0000], [0.6667, 0.6667, 0.0000], [0.3095, 0.6667, 0.5000], [0.6667, 0.0238, 0.5000], [0.0238, 0.3095, 0.5000]],
  "total_magnetization_mub_per_cell": 0.0,
  "sg": "P-62m"
}

***

Entry 7:
{
  "formula": "ZrAs2",
  "functional": "PBE",
  "state": "optimized geometry",
  "cell": [[4.1708, 2.4080, 6.8108], [-4.1708, 2.4080, 6.8108], [0.0000, -4.8160, 6.8108]],
  "species": ["As", "As", "As", "As", "Zr", "Zr"],
  "fractional_positions": [[0.8750, 0.3750, 0.3750], [0.3750, 0.3750, 0.3750], [0.3750, 0.3750, 0.8750], [0.3750, 0.8750, 0.3750], [0.5000, 0.5000, 0.5000], [0.2500, 0.2500, 0.2500]],
  "total_magnetization_mub_per_cell": 0.0,
  "sg": "Fd-3m"
}

***

Entry 8:
{
  "formula": "Zr2As",
  "functional": "PBE",
  "state": "optimized geometry",
  "cell": [[-2.6173, -10.4604, -8.8427], [-0.8032, -2.1712, 2.8062], [-4.4840, 1.3342, -0.2512]],
  "species": ["As", "As", "As", "As", "Zr", "Zr", "Zr", "Zr", "Zr", "Zr", "Zr", "Zr"],
  "fractional_positions": [[0.8221, 0.5000, 0.0000], [0.1223, 0.0000, 0.5000], [0.3222, 0.0000, 0.0000], [0.6223, 0.5000, 0.5000], [0.4672, 0.0000, 0.5000], [0.1544, 0.5000, 0.0000], [0.2901, 0.5000, 0.5000], [0.6544, 0.0000, 0.0000], [0.4772, 0.5000, 0.0000], [0.9772, 0.0000, 0.0000], [0.9672, 0.5000, 0.5000], [0.7900, 0.0000, 0.5000]],
  "total_magnetization_mub_per_cell": 0.2,
  "sg": "Cmcm"
}

***

Entry 9:
{
  "formula": "Zr2As",
  "functional": "PBE",
  "state": "optimized geometry",
  "cell": [[0.0000, 4.0148, 4.0148], [4.0148, 0.0000, 4.0148], [4.0148, 4.0148, 0.0000]],
  "species": ["Zr", "Zr", "Zr", "Zr", "As", "As"],
  "fractional_positions": [[0.6250, 0.6250, 0.6250], [0.1250, 0.6250, 0.6250], [0.6250, 0.6250, 0.1250], [0.6250, 0.1250, 0.6250], [0.2500, 0.2500, 0.2500], [0.0000, 0.0000, 0.0000]],
  "total_magnetization_mub_per_cell": 0.0,
  "sg": "Fd-3m"
}

***

Entry 10:
{
  "formula": "ZrAs2",
  "functional": "PBE",
  "state": "optimized geometry",
  "cell": [[-8.3419, 0.1073, 3.4421], [1.2946, -2.1073, 3.2032], [1.5124, 6.2064, 3.4718]],
  "species": ["As", "As", "As", "As", "As", "As", "As", "As", "Zr", "Zr", "Zr", "Zr"],
  "fractional_positions": [[0.9062, 0.2500, 0.0137], [0.1711, 0.7500, 0.4441], [0.4062, 0.2500, 0.4863], [0.0938, 0.7500, 0.9863], [0.5938, 0.7500, 0.5137], [0.8289, 0.2500, 0.5559], [0.6711, 0.7500, 0.0559], [0.3289, 0.2500, 0.9441], [0.1093, 0.2500, 0.6799], [0.3907, 0.7500, 0.1799], [0.6093, 0.2500, 0.8201], [0.8907, 0.7500, 0.3201]],
  "total_magnetization_mub_per_cell": 0.0,
  "sg": "Pnma"
}

***

Entry 11:
{
  "formula": "Zr2As",
  "functional": "PBE",
  "state": "optimized geometry",
  "cell": [[5.2072, 0.0000, 0.0000], [0.0000, 9.4399, 0.0000], [0.0000, 0.0000, 5.1437]],
  "species": ["As", "As", "As", "As", "Zr", "Zr", "Zr", "Zr", "Zr", "Zr", "Zr", "Zr"],
  "fractional_positions": [[0.8053, 0.5194, 0.5000], [0.8053, 0.1472, 0.5000], [0.0280, 0.0194, 0.0000], [0.0280, 0.6472, 0.0000], [0.4129, 0.8333, 0.0000], [0.2865, 0.0263, 0.5000], [0.5468, 0.5263, 0.0000], [0.5468, 0.1404, 0.0000], [0.4205, 0.3333, 0.5000], [0.0337, 0.3333, 0.0000], [0.2865, 0.6403, 0.5000], [0.7997, 0.8333, 0.5000]],
  "total_magnetization_mub_per_cell": 0.0,
  "sg": "Pmmn"
}

***

Number 1: E_tot -2.71 eV per atom. Number 2: E_tot -1.70 eV per atom. Number 3: E_tot -4.00 eV per atom. Number 4: E_tot -4.76 eV per atom. Number 5: E_tot -4.76 eV per atom. Number 6: E_tot -7.72 eV per atom. Number 7: E_tot -5.58 eV per atom. Number 8: E_tot -7.90 eV per atom. Number 9: E_tot -7.11 eV per atom. Number 10: E_tot -6.50 eV per atom. Number 11: E_tot -7.73 eV per atom.